<1>
This record from the Alexandria database describes a geometry-optimized YErIr structure. The functional is GGA-PBE.

Results
As for the space-group type: C2/m.

Cell: 4.475 4.475 7.963 Å, 106.25 106.25 90.02°
Sites, in units of the cell vectors:
1 Y 0.185 0.185 0.370
2 Y 0.815 0.815 0.630
3 Er 0.000 0.500 0.000
4 Er 0.500 0.000 0.000
5 Ir 0.375 0.375 0.748
6 Ir 0.625 0.625 0.252

<2>
This record from the Alexandria database describes a geometry-optimized YErIr structure. The functional is GGA-PBE.

Results
As for the space-group type: C2/m.

Cell: 6.493 6.493 11.090 Å, 100.59 100.59 40.37°
Sites, in units of the cell vectors:
1 Y 0.072 0.072 0.176
2 Y 0.419 0.419 0.348
3 Y 0.581 0.581 0.652
4 Y 0.928 0.928 0.824
5 Er 0.287 0.287 0.616
6 Er 0.350 0.350 0.033
7 Er 0.650 0.650 0.967
8 Er 0.713 0.713 0.384
9 Ir 0.087 0.087 0.435
10 Ir 0.167 0.167 0.825
11 Ir 0.833 0.833 0.175
12 Ir 0.913 0.913 0.565

What should be chosen as the most stable of them? Choose <2>.